# 1
Entry from Alexandria: NiRuI2N at its PBEsol-relaxed geometry (SCAN).

POSCAR file:
```
NiRuI2N
1.0
-0.2079 -3.1293 1.8192
4.9536 0.7955 1.9346
-2.0689 2.5964 4.2298
I Ni N Ru
2 1 1 1
Cartesian
2.4768 0.3978 0.9673
-1.0344 1.2982 2.1149
1.3384 0.1313 3.9918
-0.1040 -1.5647 0.9096
0.0000 0.0000 0.0000
```

Formation energy from raw total energies, meV per atom: 702
SG: P4/mmm (123)
Calculated total energy, eV/cell: -130.3
Theoretical density, g/cm³: 6.773
DOS(E_F), states/eV/f.u.: 3.87

=====

# 2
Entry from Alexandria: Dy6Ti4Al43 at its PBEsol-relaxed geometry (SCAN).

POSCAR file:
```
Dy6Ti4Al43
1.0
10.9723 0.0000 0.0000
-5.4862 9.5023 0.0000
0.0000 0.0000 17.7170
Al Ti Dy
86 8 12
Cartesian
4.6796 8.1054 13.2877
-0.8564 1.4833 6.7963
7.9399 2.2249 14.8216
1.6321 5.6646 4.4292
5.0756 5.7637 11.7539
2.7758 0.0000 9.3684
0.4106 3.7386 2.8954
1.3879 2.4039 8.3485
5.8968 5.7637 5.9631
0.8065 1.3970 4.4292
-0.8564 1.4833 2.0622
7.5293 1.5137 2.8954
6.9007 2.3508 0.0000
0.0000 6.3349 2.2262
0.4106 3.7386 5.9631
6.9007 2.3508 8.8585
3.0324 2.2249 5.9631
2.0432 7.9886 5.9631
9.2596 0.0000 10.9207
4.0983 7.0984 17.2070
7.1183 3.8377 4.4292
9.2596 0.0000 15.6548
-2.0432 7.9886 11.7539
4.0717 2.3508 0.0000
1.6131 0.0000 13.2877
3.4430 1.5137 11.7539
0.8564 1.4833 10.9207
-4.6796 8.1054 4.4292
1.7127 0.0000 2.0622
-4.0983 7.0984 8.3485
-4.6298 8.0191 15.6548
3.0324 2.2249 2.8954
3.8540 3.8377 13.2877
0.0000 4.7016 8.8585
5.7218 1.4188 13.2877
-1.4145 7.1515 8.8585
4.0717 2.3508 8.8585
-1.3879 2.4039 17.2070
4.0896 4.2458 4.4292
-4.6298 8.0191 10.9207
-0.4106 3.7386 11.7539
1.4145 7.1515 8.8585
2.4538 7.2774 11.7539
5.4862 3.1674 2.2262
7.9399 2.2249 11.7539
2.7758 0.0000 17.2070
0.0000 6.3349 15.4907
9.3593 0.0000 4.4292
5.4862 4.8008 0.0000
2.4538 7.2774 14.8216
4.6298 8.0191 6.7963
4.0983 7.0984 9.3684
-1.3879 2.4039 9.3684
5.4862 3.1674 11.0847
5.2506 1.4188 4.4292
6.8827 4.2458 13.2877
1.3879 2.4039 0.5099
0.8564 1.4833 15.6548
5.4862 3.1674 6.6322
0.2356 8.0835 13.2877
-1.4145 7.1515 0.0000
5.8968 5.7637 2.8954
-0.8065 1.3970 13.2877
-2.0432 7.9886 14.8216
3.4430 1.5137 14.8216
8.1966 0.0000 0.5099
0.0000 6.3349 11.0847
-0.2356 8.0835 4.4292
0.0000 6.3349 6.6322
5.4862 3.1674 15.4907
7.5293 1.5137 5.9631
-2.4538 7.2774 5.9631
-2.4538 7.2774 2.8954
4.6298 8.0191 2.0622
-4.0983 7.0984 0.5099
1.4145 7.1515 0.0000
2.0432 7.9886 2.8954
-1.6321 5.6646 13.2877
5.4862 4.8008 8.8585
5.0756 5.7637 14.8216
-0.4106 3.7386 14.8216
1.7127 0.0000 6.7963
0.0000 4.7016 0.0000
1.3966 5.2566 13.2877
8.1966 0.0000 8.3485
-1.3966 5.2566 4.4292
3.9927 6.9156 4.4292
2.9869 0.0000 4.4292
1.4935 2.5868 13.2877
-3.9927 6.9156 13.2877
-1.4935 2.5868 4.4292
7.9854 0.0000 13.2877
0.0000 0.0000 8.8585
0.0000 0.0000 0.0000
5.8026 0.0000 16.0158
2.9013 5.0252 7.1574
-2.5849 4.4771 7.1574
-2.9013 5.0252 16.0158
5.1697 0.0000 1.7011
2.5849 4.4771 16.0158
-2.5849 4.4771 1.7011
5.1697 0.0000 7.1574
5.8026 0.0000 10.5596
2.9013 5.0252 1.7011
2.5849 4.4771 10.5596
-2.9013 5.0252 10.5596
```

E_form, eV per atom: -0.36
SG: P6_3/mcm (193)
Calculated total energy, eV/cell: -1406.5
Theoretical density, g/cm³: 4.183
DOS(E_F), states/eV/f.u.: 17.10

=====

# 3
Entry from Alexandria: Ba2CaW at its PBEsol-relaxed geometry (SCAN).

POSCAR file:
```
Ba2CaW
1.0
-1.8915 -2.6158 1.7316
2.7222 -2.3736 -0.6119
4.4832 2.7919 9.1146
Ca Ba W
1 2 1
Cartesian
0.4153 -2.4947 0.5598
1.3657 0.8505 2.7766
3.1175 1.9414 6.3380
2.6569 -1.0987 5.1172
```

E_form, eV per atom: 1.09
SG: P4/mmm (123)
Calculated total energy, eV/cell: -154.1
Theoretical density, g/cm³: 5.857
DOS(E_F), states/eV/f.u.: 3.48

=====

# 4
Entry from Alexandria: TaMnBe2 at its PBEsol-relaxed geometry (SCAN).

POSCAR file:
```
TaMnBe2
1.0
-2.8508 0.5739 -1.9631
0.3855 -3.1565 -1.4826
-0.8851 -0.2062 4.3604
Ta Be Mn
1 2 1
Cartesian
-0.8661 -2.3270 0.5775
-2.4843 -0.4618 0.3372
0.0000 0.0000 0.0000
-1.2327 -1.2913 -1.7229
```

E_form, eV per atom: 0.05
SG: I-4m2 (119)
Calculated total energy, eV/cell: -93.3
Theoretical density, g/cm³: 9.259
DOS(E_F), states/eV/f.u.: 3.01

=====

# 5
Entry from Alexandria: FeTeO2F at its PBEsol-relaxed geometry (SCAN).

POSCAR file:
```
FeTeO2F
1.0
-2.6953 -1.9452 2.4823
0.9267 -3.6098 -1.8224
3.2010 -0.6685 2.9517
F O Te Fe
1 2 1 1
Cartesian
1.6005 -0.3342 1.4759
-1.3476 -0.9726 1.2412
0.4634 -1.8049 -0.9112
0.0000 0.0000 0.0000
0.7162 -3.1117 1.8058
```

Formation energy from raw total energies, meV per atom: -394
SG: P4/mmm (123)
Calculated total energy, eV/cell: -73.4
Theoretical density, g/cm³: 5.135
DOS(E_F), states/eV/f.u.: 3.28

=====

# 6
Entry from Alexandria: Eu2MnRhO6 at its PBEsol-relaxed geometry (SCAN).

POSCAR file:
```
Eu2MnRhO6
1.0
5.3525 0.0000 0.0279
0.0000 5.4957 0.0000
-0.0517 0.0000 7.6263
O Eu Mn Rh
12 4 2 2
Cartesian
0.9903 4.3282 7.2944
3.0904 5.3966 5.6772
2.2105 0.0990 1.9770
4.2095 1.0830 3.5119
1.0914 4.4127 4.1423
4.8609 2.6488 5.8041
1.5074 1.6648 7.3111
4.3105 1.1675 0.3598
1.6084 1.5803 4.1590
3.7935 3.8308 0.3431
3.6924 3.9153 3.4952
0.4399 2.8469 1.8501
2.7312 2.4497 1.9201
0.0291 0.2981 5.7193
2.5696 3.0460 5.7341
5.2717 5.1975 1.9349
0.0000 2.7478 0.0000
2.6504 0.0000 3.8271
2.6763 0.0000 0.0139
-0.0258 2.7478 3.8132
```

Formation energy from raw total energies, meV per atom: -2447
SG: P2_1/c (14)
Calculated total energy, eV/cell: -442.6
Theoretical density, g/cm³: 8.257
DOS(E_F), states/eV/f.u.: 8.76

=====

# 7
Entry from Alexandria: LaP2RhS at its PBEsol-relaxed geometry (SCAN).

POSCAR file:
```
LaP2RhS
1.0
4.4668 0.0000 0.0000
0.0000 4.4668 0.0000
0.0000 0.0000 4.9756
La S P Rh
1 1 2 1
Cartesian
2.2334 2.2334 2.4878
0.0000 0.0000 2.4878
2.2334 0.0000 0.0000
0.0000 2.2334 0.0000
0.0000 0.0000 0.0000
```

Formation energy from raw total energies, meV per atom: -659
SG: P4/mmm (123)
Calculated total energy, eV/cell: -110.6
Theoretical density, g/cm³: 5.617
DOS(E_F), states/eV/f.u.: 3.95

=====

# 8
Entry from Alexandria: KMg4Zr at its PBEsol-relaxed geometry (SCAN).

POSCAR file:
```
KMg4Zr
1.0
6.0106 0.0000 0.0000
3.0053 5.2054 0.0000
3.0053 1.7351 4.9077
Mg Zr K
4 1 1
Cartesian
7.4847 2.6192 1.8520
4.5366 2.6192 1.8520
6.0106 3.4702 4.2592
6.0106 5.1724 1.8520
9.0160 5.2054 3.6807
0.0000 0.0000 0.0000
```

E_form, eV per atom: 0.36
SG: F-43m (216)
Calculated total energy, eV/cell: -56.8
Theoretical density, g/cm³: 2.461
DOS(E_F), states/eV/f.u.: 3.84

=====

# 9
Entry from Alexandria: ZrTaTe4 at its PBEsol-relaxed geometry (SCAN).

POSCAR file:
```
ZrTaTe4
1.0
3.7423 0.0000 0.0000
-1.8712 3.2410 0.0000
0.0000 0.0000 13.2499
Te Zr Ta
4 1 1
Cartesian
1.8712 1.0803 8.5024
1.8712 1.0803 1.7753
0.0000 2.1606 4.7474
0.0000 2.1606 11.4746
0.0000 0.0000 6.6249
0.0000 0.0000 0.0000
```

Formation energy from raw total energies, meV per atom: -587
SG: P-3m1 (164)
Calculated total energy, eV/cell: -249.8
Theoretical density, g/cm³: 8.086
DOS(E_F), states/eV/f.u.: 3.12

=====

# 10
Entry from Alexandria: UInPt2 at its PBEsol-relaxed geometry (SCAN).

POSCAR file:
```
UInPt2
1.0
4.5482 0.0000 0.0000
-2.2741 3.9388 0.0000
0.0000 0.0000 8.7415
U Pt In
2 4 2
Cartesian
0.0000 2.6259 2.1854
2.2741 1.3129 6.5561
2.2741 1.3129 0.7908
0.0000 2.6259 7.9507
2.2741 1.3129 3.5799
0.0000 2.6259 5.1616
0.0000 0.0000 4.3708
0.0000 0.0000 0.0000
```

E_form, eV per atom: -0.63
SG: P6_3/mmc (194)
Calculated total energy, eV/cell: -559.6
Theoretical density, g/cm³: 15.758
DOS(E_F), states/eV/f.u.: 3.26

=====

# 11
Entry from Alexandria: Ca2ZrF2 at its PBEsol-relaxed geometry (SCAN).

POSCAR file:
```
Ca2ZrF2
1.0
3.5741 0.0000 0.0000
0.0000 3.5741 0.0000
-1.7871 -1.7871 8.2780
F Ca Zr
2 2 1
Cartesian
1.7871 0.0000 4.1390
0.0000 1.7871 4.1390
0.0000 0.0000 5.5475
1.7871 1.7871 2.7305
0.0000 0.0000 0.0000
```

Formation energy from raw total energies, meV per atom: -2162
SG: I4/mmm (139)
Calculated total energy, eV/cell: -67.9
Theoretical density, g/cm³: 3.288
DOS(E_F), states/eV/f.u.: 1.98

=====

# 12
Entry from Alexandria: Ta2OsAu at its PBEsol-relaxed geometry (SCAN).

POSCAR file:
```
Ta2OsAu
1.0
-0.0180 -1.1575 -2.8012
-3.8492 -2.4426 1.0342
-2.6524 3.5636 -1.4555
Au Os Ta
1 1 2
Cartesian
-3.2598 -0.0183 -1.6113
-0.0090 -0.5788 -1.4006
-1.9246 -1.2213 0.5171
-1.3262 1.7818 -0.7277
```

E_form, eV per atom: -0.08
SG: P4/mmm (123)
Calculated total energy, eV/cell: -274.5
Theoretical density, g/cm³: 18.780
DOS(E_F), states/eV/f.u.: 2.88

=====

# 13
Entry from Alexandria: BaLiHg3 at its PBEsol-relaxed geometry (SCAN).

POSCAR file:
```
BaLiHg3
1.0
5.0889 0.0000 0.0000
0.0000 5.0889 0.0000
0.0000 0.0000 5.0889
Hg Li Ba
3 1 1
Cartesian
0.0000 2.5444 0.0000
2.5444 0.0000 0.0000
0.0000 0.0000 2.5444
0.0000 0.0000 0.0000
2.5444 2.5444 2.5444
```

E_form, eV per atom: -0.49
SG: Pm-3m (221)
Calculated total energy, eV/cell: -248.9
Theoretical density, g/cm³: 9.400
DOS(E_F), states/eV/f.u.: 2.84

=====

# 14
Entry from Alexandria: K5ThP3S12 at its PBEsol-relaxed geometry (SCAN).

POSCAR file:
```
K5ThP3S12
1.0
9.5250 0.0000 0.0177
0.0000 11.6672 0.0000
0.0789 0.0000 19.8450
S P Th K
48 12 4 20
Cartesian
3.4356 3.4210 16.6504
1.3663 9.3239 9.8859
7.3742 10.9971 8.2566
5.5622 0.7259 11.2725
3.4357 3.4903 0.0454
8.5442 2.8433 19.7481
0.9654 8.9442 16.6373
2.6938 6.7424 4.7355
6.9527 5.1635 1.6924
3.9295 3.2317 6.8026
2.1082 0.9088 5.1958
1.4452 9.2546 13.1260
4.0541 2.9766 3.4936
5.6743 8.4355 13.0601
0.7603 5.1077 1.3411
2.2297 0.6701 11.6061
7.7007 10.5056 1.4823
5.3817 1.1650 18.2393
6.1683 8.2462 3.2123
1.0596 8.8239 0.1146
3.9155 3.1106 13.1390
8.8436 6.5595 18.5215
5.4830 0.7001 5.6270
5.8616 8.6769 10.0460
8.1586 2.4126 6.7367
4.1209 10.9671 14.2356
3.7423 2.9903 9.8167
2.6512 6.5037 18.1703
8.8560 2.8570 13.4250
0.7600 5.1335 15.5407
8.7315 2.6019 16.7339
8.8439 6.5337 4.3220
0.8724 9.0653 3.1288
1.9032 1.1616 18.3804
6.9101 4.9248 15.1272
0.7479 8.8102 6.4377
6.1682 8.1769 19.8172
5.5498 8.6907 16.3691
6.6262 4.6720 8.4667
4.2222 10.5023 1.6234
8.6385 2.7230 3.2253
7.4957 10.7584 14.6669
5.6884 8.5566 6.7237
8.2376 2.3433 9.9768
4.0417 10.9413 8.5902
0.5797 4.6686 8.3080
2.9777 6.9952 11.3960
9.0242 6.9986 11.5547
8.3900 3.6313 8.3778
1.0071 7.7378 18.2270
0.9389 7.7502 4.7344
8.5968 3.9294 1.6357
5.9369 9.4650 1.5712
5.7408 9.7507 14.6657
3.8737 1.9042 11.5494
8.6650 3.9171 15.1283
1.2138 8.0359 11.4849
3.8630 1.9166 5.1970
5.7301 9.7630 8.3133
3.6670 2.2023 18.2915
1.0875 4.1295 18.2504
3.7933 9.9631 11.5259
5.8106 1.7041 8.3368
8.5163 7.5377 1.6122
8.4073 7.6140 14.7503
5.9986 1.7804 15.0438
1.7690 1.3198 1.9359
1.4096 1.2487 8.2892
5.9897 1.5269 1.5623
8.1942 10.4185 11.5735
1.6861 1.3258 14.9003
3.6142 10.1403 18.3004
1.1966 4.0533 5.1124
6.4091 4.5078 4.9867
3.3923 7.0823 1.6421
3.1947 7.1594 14.8760
1.2667 4.3067 11.4760
3.0329 7.1535 7.9954
6.5710 4.5138 11.8673
3.6053 9.8869 4.8189
7.9178 10.3414 4.9623
6.2116 4.5849 18.2205
8.3372 7.3605 8.3867
7.8349 10.3474 17.9268
```

Formation energy from raw total energies, meV per atom: -1192
SG: P2_1/c (14)
Calculated total energy, eV/cell: -1237.4
Theoretical density, g/cm³: 2.726
DOS(E_F), states/eV/f.u.: 0.00

=====

# 15
Entry from Alexandria: LiRh3 at its PBEsol-relaxed geometry (SCAN).

POSCAR file:
```
LiRh3
1.0
3.6990 0.0000 0.0000
0.0000 3.6990 0.0000
-1.8495 -1.8495 3.7628
Rh Li
3 1
Cartesian
1.8495 1.8495 0.0000
1.8495 0.0000 1.8814
0.0000 1.8495 1.8814
0.0000 0.0000 0.0000
```

E_form, eV per atom: -0.08
SG: I4/mmm (139)
Calculated total energy, eV/cell: -104.0
Theoretical density, g/cm³: 10.181
DOS(E_F), states/eV/f.u.: 3.52

=====

# 16
Entry from Alexandria: MnSiTc at its PBEsol-relaxed geometry (SCAN).

POSCAR file:
```
MnSiTc
1.0
-0.8777 -2.4971 0.9360
2.4532 -0.3696 1.3144
-2.4508 3.3874 2.5284
Mn Tc Si
1 1 1
Cartesian
-0.8425 0.4821 4.7067
0.2339 -0.7826 2.3419
-1.1420 1.3419 2.5089
```

Formation energy from raw total energies, meV per atom: -349
SG: I4mm (107)
Calculated total energy, eV/cell: -64.4
Theoretical density, g/cm³: 8.542
DOS(E_F), states/eV/f.u.: 1.39

=====

# 17
Entry from Alexandria: ZrCrCo at its PBEsol-relaxed geometry (SCAN).

POSCAR file:
```
ZrCrCo
1.0
4.1641 0.0000 0.0000
2.0821 3.6062 0.0000
2.0821 1.2021 3.4000
Cr Zr Co
1 1 1
Cartesian
4.1641 2.4042 1.7000
2.0821 1.2021 0.8500
0.0000 0.0000 0.0000
```

E_form, eV per atom: 0.85
SG: F-43m (216)
Calculated total energy, eV/cell: -63.8
Theoretical density, g/cm³: 6.575
DOS(E_F), states/eV/f.u.: 2.95

=====

# 18
Entry from Alexandria: MnAlSi at its PBEsol-relaxed geometry (SCAN).

POSCAR file:
```
MnAlSi
1.0
-0.1926 -1.5014 2.5884
2.6824 -1.2361 -0.5175
0.5094 4.3879 0.8463
Si Al Mn
1 1 1
Cartesian
1.8809 -0.2743 1.7177
2.9857 1.6270 2.9027
1.1319 1.9480 1.2142
```

Formation energy from raw total energies, meV per atom: -416
SG: I4mm (107)
Calculated total energy, eV/cell: -37.3
Theoretical density, g/cm³: 5.122